Compound: LiV2F9
Source: Alexandria
Functional: PBE with a Hubbard U
Structure: relaxed

Calculated values
size of the total moment: 8.0 μB/cell
polymorph energy (0 for the lowest one): 1.0 kJ/mol of atoms
DOS at the Fermi energy: 0.00 states/eV/cell

The structure in POSCAR format:
```
LiV2F9
1.0
7.573 0.000 0.000
0.000 10.203 0.000
0.000 0.000 9.645
Li V F
4 8 36
direct
0.028 0.250 0.067
0.472 0.750 0.567
0.528 0.250 0.433
0.972 0.750 0.933
0.103 0.561 0.250
0.103 0.939 0.250
0.397 0.061 0.750
0.397 0.439 0.750
0.603 0.561 0.250
0.603 0.939 0.250
0.897 0.061 0.750
0.897 0.439 0.750
0.046 0.621 0.078
0.046 0.879 0.078
0.084 0.112 0.196
0.084 0.388 0.196
0.122 0.750 0.303
0.146 0.067 0.698
0.146 0.433 0.698
0.165 0.526 0.422
0.165 0.974 0.422
0.335 0.026 0.922
0.335 0.474 0.922
0.354 0.567 0.198
0.354 0.933 0.198
0.378 0.250 0.803
0.416 0.612 0.696
0.416 0.888 0.696
0.454 0.121 0.578
0.454 0.379 0.578
0.546 0.621 0.422
0.546 0.879 0.422
0.584 0.112 0.304
0.584 0.388 0.304
0.622 0.750 0.197
0.646 0.067 0.802
0.646 0.433 0.802
0.665 0.526 0.078
0.665 0.974 0.078
0.835 0.026 0.578
0.835 0.474 0.578
0.854 0.567 0.302
0.854 0.933 0.302
0.878 0.250 0.697
0.916 0.612 0.804
0.916 0.888 0.804
0.954 0.121 0.922
0.954 0.379 0.922
```